No. 1
A relaxed Nd3Er4Cd crystal, computed with GGA-PBE.

Cell: 3.599 3.601 19.177 Å, 90.00 90.00 90.00°
Fractional positions:
Nd (0.500, 0.500, 0.236)
Nd (0.500, 0.500, 0.500)
Nd (0.500, 0.500, 0.764)
Er (0.000, 0.000, 0.105)
Er (0.000, 0.000, 0.368)
Er (0.000, 0.000, 0.895)
Er (0.000, 0.000, 0.632)
Cd (0.500, 0.500, 0.000)

Summary:
Its energy relative to the elements is -66.2 meV/atom. The value obtained for the energy is -4.250 eV per atom. Its magnetic moment is 0.0 μB per formula unit. The space group is P4/mmm, No. 123. Its crystal system is tetragonal. As for the density of states at the Fermi level: 1.186 states/eV per atom. Its offset from the most stable computed form is 0.000 eV per atom.

No. 2
A relaxed NdErCd2 crystal, computed with GGA-PBE.

Cell: 3.734 3.734 7.783 Å, 90.00 90.00 90.00°
Fractional positions:
Cd (0.000, 0.000, 0.769)
Cd (0.000, 0.000, 0.231)
Nd (0.500, 0.500, 0.500)
Er (0.500, 0.500, 0.000)

Summary:
Its energy relative to the elements is -313.6 meV/atom. The value obtained for the energy is -3.104 eV per atom. Its magnetic moment is 0.5 μB per formula unit. The space group is P4/mmm, No. 123. Its crystal system is tetragonal. As for the density of states at the Fermi level: 0.993 states/eV per atom. Its offset from the most stable computed form is 0.000 eV per atom.

No. 3
A relaxed NdEr2Cd crystal, computed with GGA-PBE.

Cell: 3.582 3.582 10.976 Å, 80.61 80.61 60.00°
Fractional positions:
Nd (0.500, 0.500, 0.500)
Cd (0.000, 0.000, 0.000)
Er (0.257, 0.257, 0.229)
Er (0.743, 0.743, 0.771)

Summary:
Its energy relative to the elements is -78.6 meV/atom. The value obtained for the energy is -3.781 eV per atom. Its magnetic moment is 0.0 μB per formula unit. The space group is R-3m, No. 166. Its crystal system is trigonal. As for the density of states at the Fermi level: 1.010 states/eV per atom. Its offset from the most stable computed form is 0.071 eV per atom.

No. 4
A relaxed Nd6Er3Cd crystal, computed with GGA-PBE.

Cell: 5.112 11.152 11.388 Å, 91.73 90.00 90.00°
Fractional positions:
Nd (0.750, 0.760, 0.504)
Nd (0.250, 0.153, 0.192)
Nd (0.250, 0.450, 0.102)
Nd (0.750, 0.847, 0.808)
Nd (0.750, 0.953, 0.106)
Nd (0.250, 0.047, 0.894)
Nd (0.750, 0.348, 0.299)
Nd (0.750, 0.550, 0.898)
Nd (0.250, 0.652, 0.701)
Nd (0.250, 0.240, 0.496)
Nd (0.250, 0.858, 0.313)
Nd (0.750, 0.142, 0.687)
Er (0.250, 0.751, 0.008)
Er (0.750, 0.651, 0.206)
Er (0.750, 0.450, 0.599)
Er (0.750, 0.249, 0.992)
Er (0.250, 0.550, 0.401)
Er (0.250, 0.349, 0.794)
Cd (0.250, 0.950, 0.603)
Cd (0.750, 0.050, 0.397)

Summary:
Its energy relative to the elements is -20.0 meV/atom. The value obtained for the energy is -4.341 eV per atom. Its magnetic moment is 0.0 μB per formula unit. The space group is P2_1/m, No. 11. Its crystal system is monoclinic. As for the density of states at the Fermi level: 1.437 states/eV per atom.

Q: Which of these has the highest energy relative to the elements?
A: Nd6Er3Cd

Q: magnetic moment of number 3 (NdEr2Cd)?
A: 0.0 μB per formula unit

Q: Among the records above, which one has the lowest energy?
A: Nd6Er3Cd